Computed, not measured: a geometry-optimized Ba2CCl structure at the GGA-PBEsol level of DFT.

Structure (POSCAR):
```
Ba2CCl
1.0
5.1931 0.0000 0.0000
2.5966 4.4974 0.0000
2.5966 1.4991 4.2402
C Ba Cl
1 2 1
Cartesian
0.0000 0.0000 0.0000
2.5966 1.4991 1.0600
7.7897 4.4974 3.1801
5.1931 2.9983 2.1201
```

Output
spin magnetization	1.0	μB per formula unit
formation energy from raw total energies	-18.6	kJ/mol of atoms
space-group type	Fm-3m (225)

---

Computed, not measured: a geometry-optimized BaH2CSNClO structure at the GGA-PBEsol level of DFT.

Structure (POSCAR):
```
BaH2CSNClO
1.0
-2.6543 -1.9239 -3.4237
1.8084 -5.3154 1.5850
-15.1708 -1.4167 12.5576
Ba H C S N Cl O
4 8 4 4 4 4 4
Cartesian
-6.9733 -5.9532 3.8297
-2.8301 -2.8242 -1.1408
-9.0434 -2.7027 6.8893
-13.1866 -5.8317 11.8598
-4.3095 -4.7545 2.1697
-5.9387 -2.7156 0.1294
-10.8346 -3.2689 9.6749
-10.9506 -6.5729 9.4640
-11.7072 -3.9015 8.5493
-10.0780 -5.9404 10.5896
-5.1821 -5.3870 1.0441
-5.0661 -2.0830 1.2550
-5.4475 -2.6562 4.0753
-1.4210 -5.0224 2.2833
-10.5692 -5.9997 6.6437
-14.5957 -3.6336 8.4357
-5.5422 -1.2075 3.3346
-2.2875 -3.6457 2.1815
-10.4745 -7.4485 7.3844
-13.7292 -5.0103 8.5375
-5.3725 -3.7116 4.6103
-2.6037 -0.7109 0.7774
-10.6442 -4.9443 6.1087
-13.4130 -7.9450 9.9416
-8.8088 -3.3766 3.8047
-0.9986 -5.3894 -1.1192
-7.2079 -5.2794 6.9143
-15.0181 -3.2666 11.8382
-5.0746 -5.3638 2.0265
-5.0006 -2.6148 0.4243
-10.9421 -3.2922 8.6925
-11.0161 -6.0412 10.2947
```

Output
spin magnetization	0.0	μB per formula unit
space-group type	Pnma (62)

---

Computed, not measured: a geometry-optimized BaCSNCl structure at the GGA-PBEsol level of DFT.

Structure (POSCAR):
```
BaCSNCl
1.0
-4.0154 -0.1356 2.2227
-0.7636 -5.5228 -1.7164
4.1437 -1.4607 7.3965
Ba C Cl S N
2 2 2 2 2
Cartesian
0.0816 -1.6409 2.4185
-0.7169 -5.4781 5.4844
-2.8435 -3.6881 1.7518
2.2082 -3.4309 6.1511
-0.9167 -2.2996 5.3172
0.2814 -4.8194 2.5857
2.6156 -2.0861 6.9690
-3.2509 -5.0329 0.9339
-2.5484 -2.7027 2.3450
1.9131 -4.4163 5.5579
```

Output
spin magnetization	0.0	μB per formula unit
formation energy from raw total energies	-106.5	kJ/mol of atoms
space-group type	P2_1/m (11)

---

Computed, not measured: a geometry-optimized Ba3CCl4O3 structure at the GGA-PBEsol level of DFT.

Structure (POSCAR):
```
Ba3CCl4O3
1.0
-3.2593 1.6971 7.4801
-8.4569 -2.9712 -3.0109
2.6961 -11.5112 3.7865
Ba C Cl O
12 4 16 12
Cartesian
-6.8455 -11.7240 8.5245
-2.6430 -5.1712 5.1024
-2.1747 -1.0612 -0.2687
-6.3772 -7.6140 3.1533
-7.6637 -6.5325 -1.4388
0.6427 -8.6785 6.4733
-5.4222 -7.6812 8.2470
-5.5970 -2.6783 3.2300
-1.3564 -6.2527 9.6945
-9.6628 -4.1067 1.7825
-3.5979 -5.1041 0.0088
-3.4231 -10.1069 5.0257
-6.7973 -9.1540 5.8529
-4.0756 -1.8301 5.8295
-2.2229 -3.6313 2.4028
-4.9445 -10.9551 2.4262
-5.1193 -8.0630 0.0633
-3.5424 -0.1432 2.6670
-3.9008 -4.7222 8.1924
-5.4777 -12.6421 5.5887
-8.5103 -3.1523 4.7421
-2.3925 -7.7042 6.8984
-0.5098 -9.6329 3.5137
-6.6277 -5.0810 1.3574
-4.9947 -2.2347 0.1235
-3.2986 -7.5445 3.1243
-0.5161 -9.3176 9.3817
-9.2309 -6.4737 3.8820
-4.0254 -10.5505 8.1323
-5.7215 -5.2408 5.1315
-8.5041 -3.4677 -1.1260
0.2108 -6.3115 4.3737
-5.6414 -8.6112 5.6250
-5.3713 -1.7761 5.8611
-1.3544 -3.4629 3.3515
-5.6732 -11.7203 1.6739
-3.3787 -4.1741 2.6308
-3.6488 -11.0091 2.3946
-7.6657 -9.3224 4.9043
-3.3470 -1.0649 6.5819
-7.1206 -9.4627 7.0658
-3.4978 -2.6081 4.9740
-1.8995 -3.3226 1.1899
-5.5224 -10.1772 3.2817
```

Output
spin magnetization	0.0	μB per formula unit
formation energy from raw total energies	-234.1	kJ/mol of atoms
space-group type	Pnma (62)

---

| no. | total energy (eV per formula unit) | D(E_F) (states/eV per atom) |
| --- | --- | --- |
| 1 | -16.72 | 0.891 |
| 2 | -47.15 | 0.000 |
| 3 | -32.23 | 0.000 |
| 4 | -66.56 | 0.000 |